The following is a GGA-PBE calculation of a relaxed NiBi2Cl crystal, from the Alexandria database.

Lattice parameters (Å, degrees): 4.0430 4.0430 21.6407 90.00 90.00 120.00
Space group R-3m (No. 166, hexagonal axes)
Symmetry-distinct sites (fractional):
Ni: 0.0000 0.0000 0.0000 [3 per cell]
Bi: 0.0000 0.0000 0.2738 [6 per cell]
Cl: 0.0000 0.0000 0.5000 [3 per cell]

Calculated values
The magnetization comes out at 0.0 Bohr magnetons per cell. The calculation puts the formation energy from raw total energies at -23.7 kJ/mol of atoms. As for the calculated total energy: -4.0930 eV per atom.


The following is a GGA-PBE calculation of a relaxed NiBiCl2 crystal, from the Alexandria database.

Lattice parameters (Å, degrees): 6.896 6.896 6.896 90.00 90.00 90.00
Space group Fm-3m (No. 225)
Symmetry-distinct sites (fractional):
Ni: 0.000 0.000 0.000 [4 per cell]
Bi: 0.000 0.000 0.500 [4 per cell]
Cl: 0.250 0.250 0.250 [8 per cell]

Calculated values
The magnetization comes out at 0.0 Bohr magnetons per cell. The calculation puts the formation energy from raw total energies at 26.7 kJ/mol of atoms. As for the calculated total energy: -3.0623 eV per atom.


The following is a GGA-PBE calculation of a relaxed NiBiCl6 crystal, from the Alexandria database.

Lattice parameters (Å, degrees): 6.312 6.318 6.814 90.03 117.55 119.95
Space group P-1 (No. 2)
Symmetry-distinct sites (fractional):
Ni: 0.000 0.000 0.000 [1 per cell]
Bi: 0.000 0.500 0.500 [1 per cell]
Cl: 0.153 0.933 0.770 [2 per cell]
Cl: 0.164 0.780 0.230 [2 per cell]
Cl: 0.450 0.383 0.230 [2 per cell]

Calculated values
The magnetization comes out at 1.0 Bohr magnetons per cell. The calculation puts the formation energy from raw total energies at -59.8 kJ/mol of atoms. As for the calculated total energy: -3.2128 eV per atom.


The following is a GGA-PBE calculation of a relaxed Ni2BiOsCl crystal, from the Alexandria database.

Lattice parameters (Å, degrees): 4.773 4.773 4.397 90.00 90.00 90.00
Space group P4/mmm (No. 123)
Symmetry-distinct sites (fractional):
Ni: 0.000 0.500 0.000 [2 per cell]
Bi: 0.000 0.000 0.500 [1 per cell]
Os: 0.500 0.500 0.000 [1 per cell]
Cl: 0.500 0.500 0.500 [1 per cell]

Calculated values
The magnetization comes out at 0.6 Bohr magnetons per cell. The calculation puts the formation energy from raw total energies at 97.7 kJ/mol of atoms. As for the calculated total energy: -4.6910 eV per atom.


Across the entries above, density takes the values 8.33 6.86 4.01 9.15 Mg/m³, respectively.